Record 1
Computed, not measured: crystalline PmAgPb2 at its relaxed geometry at the GGA-PBE level of DFT.

Computed properties:
ΔH_f (0 K) = -134 meV/atom
D(E_F) = 2.43 states/eV per cell
distance to the lowest polymorph of the same formula = 201 meV per atom

CIF file:
```
data_PmAgPb2
_chemical_formula_sum 'Pm1 Ag1 Pb2'
_cell_length_a 3.7306
_cell_length_b 3.7306
_cell_length_c 7.7483
_cell_angle_alpha 90.00
_cell_angle_beta 90.00
_cell_angle_gamma 90.00
_space_group_name_H-M_alt 'P 4/m m m'
_space_group_IT_number 123
_space_group_name_Hall '-P 4 2'
loop_
_atom_site_label
_atom_site_fract_x
_atom_site_fract_y
_atom_site_fract_z
Pm1 0.0000 0.0000 0.0000
Ag1 0.0000 0.0000 0.5000
Pb1 0.5000 0.5000 0.2805
```


Record 2
Computed, not measured: crystalline SbMoPbW2 at its relaxed geometry at the GGA-PBE level of DFT.

Computed properties:
raw formation energy = 1734 meV/atom
D(E_F) = 5.13 states/eV per cell

CIF file:
```
data_SbMoPbW2
_chemical_formula_sum 'Sb1 Mo1 Pb1 W2'
_cell_length_a 4.8687
_cell_length_b 4.8687
_cell_length_c 5.2508
_cell_angle_alpha 90.00
_cell_angle_beta 90.00
_cell_angle_gamma 90.00
_space_group_name_H-M_alt 'P 4/m m m'
_space_group_IT_number 123
_space_group_name_Hall '-P 4 2'
loop_
_atom_site_label
_atom_site_fract_x
_atom_site_fract_y
_atom_site_fract_z
Sb1 0.0000 0.0000 0.0000
Mo1 0.5000 0.5000 0.5000
Pb1 0.5000 0.5000 0.0000
W1 0.0000 0.5000 0.5000
```


Record 3
Computed, not measured: crystalline LaSbCl2 at its relaxed geometry at the GGA-PBE level of DFT.

Computed properties:
raw formation energy = -1156 meV/atom
D(E_F) = 4.54 states/eV per cell
distance to the lowest polymorph of the same formula = 278 meV per atom

CIF file:
```
data_LaSbCl2
_chemical_formula_sum 'La2 Sb2 Cl4'
_cell_length_a 4.7094
_cell_length_b 4.7094
_cell_length_c 9.4144
_cell_angle_alpha 90.00
_cell_angle_beta 90.00
_cell_angle_gamma 90.00
_space_group_name_H-M_alt 'I 4/m m m'
_space_group_IT_number 139
_space_group_name_Hall '-I 4 2'
loop_
_atom_site_label
_atom_site_fract_x
_atom_site_fract_y
_atom_site_fract_z
La1 0.0000 0.0000 0.0000
Sb1 0.0000 0.0000 0.5000
Cl1 0.0000 0.5000 0.2500
```


Record 4
Computed, not measured: crystalline Ta2TlAg at its relaxed geometry at the GGA-PBE level of DFT.

Computed properties:
ΔH_f (0 K) = 527 meV/atom
D(E_F) = 3.75 states/eV per cell

CIF file:
```
data_Ta2TlAg
_chemical_formula_sum 'Ta2 Tl1 Ag1'
_cell_length_a 2.9503
_cell_length_b 2.9503
_cell_length_c 8.7400
_cell_angle_alpha 90.00
_cell_angle_beta 90.00
_cell_angle_gamma 90.00
_space_group_name_H-M_alt 'P 4/m m m'
_space_group_IT_number 123
_space_group_name_Hall '-P 4 2'
loop_
_atom_site_label
_atom_site_fract_x
_atom_site_fract_y
_atom_site_fract_z
Ta1 0.0000 0.0000 0.2366
Tl1 0.5000 0.5000 0.5000
Ag1 0.5000 0.5000 0.0000
```


Record 5
Computed, not measured: crystalline SbAs2Se at its relaxed geometry at the GGA-PBE level of DFT.

Computed properties:
raw formation energy = 335 meV/atom
D(E_F) = 5.25 states/eV per cell
distance to the lowest polymorph of the same formula = 320 meV per atom

CIF file:
```
data_SbAs2Se
_chemical_formula_sum 'Sb2 As4 Se2'
_cell_length_a 3.6225
_cell_length_b 4.5015
_cell_length_c 11.0327
_cell_angle_alpha 90.00
_cell_angle_beta 90.00
_cell_angle_gamma 90.00
_space_group_name_H-M_alt 'I m m m'
_space_group_IT_number 71
_space_group_name_Hall '-I 2 2'
loop_
_atom_site_label
_atom_site_fract_x
_atom_site_fract_y
_atom_site_fract_z
Sb1 0.0000 0.0000 0.0000
As1 0.0000 0.5000 0.2793
Se1 0.0000 0.0000 0.5000
```


Record 6
Computed, not measured: crystalline Ca2Mo2Os at its relaxed geometry at the GGA-PBE level of DFT.

Computed properties:
ΔH_f (0 K) = 420 meV/atom
D(E_F) = 7.44 states/eV per cell
distance to the lowest polymorph of the same formula = 0 meV per atom

CIF file:
```
data_Ca2Mo2Os
_chemical_formula_sum 'Ca4 Mo4 Os2'
_cell_length_a 6.4703
_cell_length_b 6.4703
_cell_length_c 5.2034
_cell_angle_alpha 90.00
_cell_angle_beta 90.00
_cell_angle_gamma 90.00
_space_group_name_H-M_alt 'P 4/m b m'
_space_group_IT_number 127
_space_group_name_Hall '-P 4 2ab'
loop_
_atom_site_label
_atom_site_fract_x
_atom_site_fract_y
_atom_site_fract_z
Ca1 0.1780 0.3220 0.0000
Mo1 0.1355 0.6355 0.5000
Os1 0.0000 0.0000 0.5000
```